No. 1
LiGa2Ni: relaxed, PBE.

Summary:
ΔE to the lowest computed polymorph in eV per atom: 0.387
Fermi-level density of states in states/eV per atom: 0.504
Formation energy in kJ per mole of atoms: 1
Space group: I-42d

Cell and atoms, written as POSCAR:
```
LiGa2Ni
1.0
-1.931 -1.616 -2.887
-2.043 -2.047 2.512
-7.805 4.443 0.192
Ni Ga Li
2 4 2
direct
0.000 0.000 0.000
0.750 0.250 0.500
0.644 0.125 0.250
0.106 0.625 0.250
0.375 0.356 0.750
0.875 0.894 0.750
0.500 0.500 0.000
0.250 0.750 0.500
```


No. 2
Rb3LiTh3O8: relaxed, PBE.

Summary:
ΔE_f (raw) in eV per formula unit: -41.0
Fermi-level density of states in states/eV per atom: 0.000
Space group: R-3m

Cell and atoms, written as POSCAR:
```
Rb3LiTh3O8
1.0
7.289 0.000 0.000
-3.644 6.312 -0.020
0.000 -4.183 6.588
Rb Li Th O
3 1 3 8
direct
0.000 0.000 0.000
0.000 0.500 0.000
0.500 0.500 0.000
0.000 0.000 0.500
0.500 0.000 0.500
0.500 0.500 0.500
0.000 0.500 0.500
0.272 0.544 0.315
0.728 0.456 0.685
0.768 0.536 0.335
0.232 0.464 0.665
0.768 0.067 0.335
0.232 0.933 0.665
0.299 0.067 0.335
0.701 0.933 0.665
```


No. 3
LiW2I2: relaxed, PBE.

Summary:
ΔE_f (raw) in eV per formula unit: 3.7
ΔE to the lowest computed polymorph in eV per atom: 0.000
Fermi-level density of states in states/eV per atom: 0.676
Space group: I4/mmm

Cell and atoms, written as POSCAR:
```
LiW2I2
1.0
3.693 0.000 0.000
0.000 3.693 0.000
1.846 1.846 8.729
I W Li
2 2 1
direct
0.397 0.397 0.206
0.603 0.603 0.794
0.750 0.250 0.500
0.250 0.750 0.500
0.000 0.000 0.000
```


No. 4
V4GeMo2: relaxed, PBE.

Summary:
Fermi-level density of states in states/eV per atom: 1.127
Formation energy in kJ per mole of atoms: 97
Space group: I4/mmm

Cell and atoms, written as POSCAR:
```
V4GeMo2
1.0
4.427 0.000 0.000
0.000 4.427 0.000
2.214 2.214 6.205
Mo Ge V
2 1 4
direct
0.376 0.376 0.247
0.624 0.624 0.753
0.000 0.000 0.000
0.195 0.195 0.609
0.805 0.805 0.391
0.000 0.500 0.000
0.500 0.000 0.000
```


No. 5
Re2Cl: relaxed, PBE.

Summary:
ΔE_f (raw) in eV per formula unit: 1.9
ΔE to the lowest computed polymorph in eV per atom: 0.452
Fermi-level density of states in states/eV per atom: 0.820
Space group: Cmcm

Cell and atoms, written as POSCAR:
```
Re2Cl
1.0
3.225 10.073 0.019
-5.089 -8.659 3.317
2.411 -0.775 1.675
Re Cl
4 2
direct
0.341 0.659 0.750
0.659 0.341 0.250
0.761 0.239 0.750
0.239 0.761 0.250
0.088 0.912 0.750
0.912 0.088 0.250
```


No. 6
Ga2Cu2Te: relaxed, PBE.

Summary:
ΔE_f (raw) in eV per formula unit: 0.4
ΔE to the lowest computed polymorph in eV per atom: 0.044
Fermi-level density of states in states/eV per atom: 0.450
Space group: P4/mbm

Cell and atoms, written as POSCAR:
```
Ga2Cu2Te
1.0
6.919 0.000 0.000
0.000 6.919 0.000
0.000 0.000 3.905
Te Cu Ga
2 4 4
direct
0.000 0.000 0.000
0.500 0.500 0.000
0.373 0.873 0.000
0.873 0.627 0.000
0.627 0.127 0.000
0.127 0.373 0.000
0.154 0.654 0.500
0.654 0.846 0.500
0.846 0.346 0.500
0.346 0.154 0.500
```


No. 7
Dy3In5H12: relaxed, PBE.

Summary:
Fermi-level density of states in states/eV per atom: 0.340
Uncorrected energy in eV/atom: -3.33
Space group: Ia-3d

Cell and atoms, written as POSCAR:
```
Dy3In5H12
1.0
-2.004 -2.770 -10.618
-6.606 -5.978 6.713
-2.066 10.864 1.462
Dy In H
12 20 48
direct
0.750 0.375 0.125
0.875 0.750 0.125
0.375 0.750 0.625
0.250 0.125 0.375
0.875 0.125 0.250
0.375 0.625 0.250
0.625 0.375 0.750
0.125 0.875 0.750
0.750 0.875 0.625
0.625 0.250 0.375
0.125 0.250 0.875
0.250 0.625 0.875
0.125 0.375 0.250
0.000 0.500 0.000
0.000 0.000 0.000
0.375 0.250 0.125
0.500 0.000 0.500
0.500 0.500 0.000
0.125 0.750 0.375
0.750 0.125 0.875
0.750 0.625 0.375
0.375 0.125 0.750
0.625 0.875 0.250
0.500 0.500 0.500
0.500 0.000 0.000
0.000 0.000 0.500
0.250 0.375 0.625
0.250 0.875 0.125
0.000 0.500 0.500
0.875 0.250 0.625
0.625 0.750 0.875
0.875 0.625 0.750
0.742 0.160 0.083
0.342 0.583 0.424
0.917 0.340 0.258
0.583 0.242 0.160
0.582 0.742 0.658
0.917 0.576 0.158
0.342 0.758 0.418
0.076 0.918 0.160
0.576 0.917 0.658
0.742 0.582 0.158
0.758 0.417 0.340
0.842 0.924 0.083
0.160 0.742 0.583
0.340 0.424 0.082
0.082 0.924 0.340
0.418 0.160 0.576
0.082 0.158 0.242
0.417 0.658 0.076
0.842 0.918 0.258
0.160 0.418 0.076
0.340 0.917 0.758
0.576 0.660 0.418
0.924 0.842 0.583
0.758 0.342 0.918
0.424 0.340 0.582
0.076 0.158 0.417
0.242 0.658 0.082
0.158 0.082 0.742
0.660 0.083 0.242
0.840 0.582 0.924
0.583 0.342 0.924
0.582 0.840 0.424
0.918 0.842 0.758
0.918 0.076 0.660
0.840 0.258 0.417
0.158 0.076 0.917
0.660 0.576 0.918
0.424 0.083 0.342
0.258 0.418 0.842
0.242 0.583 0.660
0.924 0.082 0.840
0.658 0.242 0.582
0.417 0.758 0.840
0.083 0.424 0.842
0.418 0.258 0.342
0.083 0.660 0.742
0.658 0.417 0.576
0.258 0.840 0.917
```


No. 8
CaYCr2: relaxed, PBE.

Summary:
Fermi-level density of states in states/eV per atom: 1.454
Formation energy in kJ per mole of atoms: 78
Space group: R-3m

Cell and atoms, written as POSCAR:
```
CaYCr2
1.0
9.987 -0.186 -0.109
9.451 3.235 -0.109
9.451 1.482 2.878
Y Cr Ca
1 2 1
direct
0.250 0.250 0.250
0.997 0.997 0.997
0.503 0.503 0.503
0.750 0.750 0.750
```


No. 9
Ba6Sb2TeP: relaxed, PBE.

Summary:
ΔE_f (raw) in eV per formula unit: -10.9
Fermi-level density of states in states/eV per atom: 0.356
Space group: P2_1/c

Cell and atoms, written as POSCAR:
```
Ba6Sb2TeP
1.0
8.205 0.000 -0.024
0.000 9.235 0.000
0.036 0.000 12.077
Ba Sb Te P
12 4 2 2
direct
0.311 0.676 0.074
0.811 0.824 0.574
0.689 0.324 0.926
0.189 0.176 0.426
0.334 0.700 0.428
0.834 0.800 0.928
0.666 0.300 0.572
0.166 0.200 0.072
0.852 0.559 0.238
0.352 0.941 0.738
0.148 0.441 0.762
0.648 0.059 0.262
0.044 0.901 0.247
0.544 0.599 0.747
0.956 0.099 0.753
0.456 0.401 0.253
0.500 0.000 0.000
0.000 0.500 0.500
0.500 0.000 0.500
0.000 0.500 0.000
```


No. 10
Cs3InW: relaxed, PBE.

Summary:
ΔE to the lowest computed polymorph in eV per atom: 0.000
Fermi-level density of states in states/eV per atom: 0.605
Formation energy in kJ per mole of atoms: 142
Space group: Pm-3m

Cell and atoms, written as POSCAR:
```
Cs3InW
1.0
7.227 0.000 0.000
0.000 7.227 0.000
0.000 0.000 7.227
Cs In W
3 1 1
direct
0.000 0.500 0.000
0.000 0.000 0.500
0.500 0.000 0.000
0.000 0.000 0.000
0.500 0.500 0.500
```


No. 11
TmZrAl: relaxed, PBE.

Summary:
ΔE to the lowest computed polymorph in eV per atom: 0.278
Fermi-level density of states in states/eV per atom: 1.214
Formation energy in kJ per mole of atoms: 2
Space group: P3m1

Cell and atoms, written as POSCAR:
```
TmZrAl
1.0
-2.298 -0.813 -1.765
-1.977 -2.628 3.784
-1.232 4.821 -0.617
Tm Al Zr
1 1 1
direct
0.167 0.000 0.000
0.667 0.667 0.333
0.165 0.333 0.667
```


No. 12
CrNi7Ge2Pt2: relaxed, PBE.

Summary:
Fermi-level density of states in states/eV per atom: 1.045
Formation energy in kJ per mole of atoms: -7
Space group: Cmmm

Cell and atoms, written as POSCAR:
```
CrNi7Ge2Pt2
1.0
-2.598 1.851 1.764
-1.871 -3.078 0.562
1.161 -2.830 12.309
Cr Ni Ge Pt
1 7 2 2
direct
0.000 0.000 0.000
0.500 0.500 0.000
0.260 0.260 0.500
0.740 0.740 0.500
0.853 0.354 0.147
0.354 0.853 0.147
0.646 0.147 0.853
0.147 0.646 0.853
0.685 0.685 0.315
0.315 0.315 0.685
0.813 0.813 0.687
0.187 0.187 0.313
```